[1]
{
  "formula": "BeSb2Pb",
  "functional": "PBE",
  "state": "relaxed",
  "cell": [[2.887, -4.492, 0.000], [2.887, 4.492, 0.000], [0.000, 0.000, 3.840]],
  "species": ["Be", "Sb", "Sb", "Pb"],
  "frac_coords": [[0.000, 0.000, 0.000], [0.188, 0.812, 0.500], [0.812, 0.188, 0.500], [0.500, 0.500, 0.000]],
  "e_above_lowest_polymorph_kj_per_mol_atoms": 9.8
}

[2]
{
  "formula": "BeSb2Pb",
  "functional": "PBE",
  "state": "relaxed",
  "cell": [[0.000, 3.689, 3.689], [3.689, 0.000, 3.689], [3.689, 3.689, 0.000]],
  "species": ["Be", "Sb", "Sb", "Pb"],
  "frac_coords": [[0.000, 0.000, 0.000], [0.500, 0.500, 0.500], [0.750, 0.750, 0.750], [0.250, 0.250, 0.250]],
  "e_above_lowest_polymorph_kj_per_mol_atoms": 45.5
}

no.,ρ (g/cm³),VASP energy (eV/atom)
1,7.66,-3.69
2,7.60,-3.33